1.
V3NiN: optimized geometry, GGA-PBE.

abc: 8.8868 4.0369 6.9892
angles: 90.00 114.84 90.00
Space group C2/m (No. 12)
Symmetry-distinct sites (fractional):
V (0.1154, 0.0000, 0.2032)
V (0.1320, 0.5000, 0.9274)
V (0.1350, 0.0000, 0.6512)
Ni (0.1226, 0.5000, 0.4522)
N (0.1245, 0.0000, 0.9258)

***

2.
V4NiN: optimized geometry, GGA-PBE.

abc: 6.4557 4.3628 5.8336
angles: 90.00 111.69 90.00
Space group P2_1/c (No. 14)
Symmetry-distinct sites (fractional):
V (0.1399, 0.2424, 0.3077)
V (0.2509, 0.7042, 0.1036)
Ni (0.5000, 0.0000, 0.0000)
N (0.0000, 0.0000, 0.0000)

***

3.
VNiN3: optimized geometry, GGA-PBE.

abc: 3.7739 3.7739 3.7739
angles: 90.00 90.00 90.00
Space group Pm-3m (No. 221)
Symmetry-distinct sites (fractional):
V (0.0000, 0.0000, 0.0000)
Ni (0.5000, 0.5000, 0.5000)
N (0.0000, 0.0000, 0.5000)

***

4.
V2NiN: optimized geometry, GGA-PBE.

abc: 2.8436 2.8436 18.7544
angles: 90.00 90.00 120.00
Space group R-3m (No. 166, hexagonal axes)
Symmetry-distinct sites (fractional):
V (0.0000, 0.0000, 0.2256)
Ni (0.0000, 0.0000, 0.0000)
N (0.0000, 0.0000, 0.5000)

***

5.
V4Ni2N: optimized geometry, GGA-PBE.

Computed properties:
Excess energy over the best structure of this formula in the dataset in meV/atom: 348

abc: 3.8437 3.8437 11.7986
angles: 90.00 90.00 90.00
Space group I4/mmm (No. 139)
Symmetry-distinct sites (fractional):
V (0.0000, 0.0000, 0.1730)
V (0.0000, 0.5000, 0.0000)
Ni (0.0000, 0.0000, 0.3652)
N (0.0000, 0.0000, 0.0000)

***

6.
V4Ni2N: optimized geometry, GGA-PBE.

Computed properties:
Excess energy over the best structure of this formula in the dataset in meV/atom: 0

abc: 10.8554 10.8554 10.8554
angles: 90.00 90.00 90.00
Space group Fd-3m (No. 227, origin choice 2)
Symmetry-distinct sites (fractional):
V (0.0000, 0.0000, 0.0000)
V (0.0554, 0.3750, 0.8750)
Ni (0.0431, 0.0431, 0.2069)
N (0.0000, 0.0000, 0.5000)

***

7.
V5NiN: optimized geometry, GGA-PBE.

abc: 8.7182 5.2234 8.2783
angles: 90.00 115.77 90.00
Space group C2/c (No. 15)
Symmetry-distinct sites (fractional):
V (0.0000, 0.0137, 0.2500)
V (0.1436, 0.3116, 0.0589)
V (0.2053, 0.1928, 0.6098)
Ni (0.0000, 0.4891, 0.7500)
N (0.0000, 0.0000, 0.0000)

***

8.
VNiN2: optimized geometry, GGA-PBE.

Computed properties:
Excess energy over the best structure of this formula in the dataset in meV/atom: 766

abc: 5.0939 5.0939 5.0939
angles: 90.00 90.00 90.00
Space group Fm-3m (No. 225)
Symmetry-distinct sites (fractional):
V (0.0000, 0.0000, 0.0000)
Ni (0.0000, 0.0000, 0.5000)
N (0.2500, 0.2500, 0.2500)

***

Respective total magnetic moment values: 0.00, 0.00, 1.54, 0.00, 0.00, 0.00, 0.00, 0.00 μB/f.u..
Respective formation energy without anion corrections values: -0.55, -0.15, 0.93, -0.59, -0.21, -0.56, -0.32, 0.35 eV/atom.